i:
Density functional theory data (PBE) for P2SeBr after structural relaxation.

POSCAR file:
```
P2SeBr
1.0
4.714 0.000 0.000
0.000 4.714 0.000
0.000 0.000 3.380
P Se Br
2 1 1
direct
0.000 0.500 0.000
0.500 0.000 0.000
0.000 0.000 0.500
0.500 0.500 0.500
```

Calculated values
Crystal system: tetragonal
Calculated volume, Å³ per atom: 18.77
Total moment, μB/f.u.: 0.000

***

ii:
Density functional theory data (PBE) for P2SeBr after structural relaxation.

POSCAR file:
```
P2SeBr
1.0
3.253 -3.641 0.000
3.253 3.641 0.000
-3.223 0.000 3.718
P Se Br
2 1 1
direct
0.000 0.500 0.000
0.500 0.000 0.000
0.000 0.000 0.500
0.500 0.500 0.500
```

Calculated values
Crystal system: monoclinic
Calculated volume, Å³ per atom: 22.02
Total moment, μB/f.u.: 0.000

***

The structure with the least stability is i.

***

i:
Density functional theory data (PBE) for P2SeBr after structural relaxation.

POSCAR file:
```
P2SeBr
1.0
2.058 1.188 5.803
-2.058 1.188 5.803
0.000 -2.376 5.803
P Se Br
2 1 1
direct
0.227 0.227 0.227
0.773 0.773 0.773
0.500 0.500 0.500
0.000 0.000 0.000
```

Calculated values
Crystal system: trigonal
Calculated volume, Å³ per atom: 21.28
Total moment, μB/f.u.: 0.000

***

ii:
Density functional theory data (PBE) for P2SeBr after structural relaxation.

POSCAR file:
```
P2SeBr
1.0
5.200 -1.637 0.000
5.200 1.637 0.000
-0.142 0.000 6.785
P Se Br
2 1 1
direct
0.000 0.000 0.000
0.556 0.556 0.219
0.189 0.189 0.849
0.375 0.375 0.397
```

Calculated values
Crystal system: monoclinic
Calculated volume, Å³ per atom: 28.88
Total moment, μB/f.u.: 0.000

***

The structure with the least stability is i.

***

i:
Density functional theory data (PBE) for P2SeBr after structural relaxation.

POSCAR file:
```
P2SeBr
1.0
5.739 -1.640 0.000
5.739 1.640 0.000
-5.290 0.000 5.739
P Se Br
2 1 1
direct
0.161 0.161 0.397
0.839 0.839 0.603
0.000 0.000 0.500
0.500 0.500 0.000
```

Calculated values
Crystal system: monoclinic
Calculated volume, Å³ per atom: 27.02
Total moment, μB/f.u.: 0.000

***

ii:
Density functional theory data (PBE) for P2SeBr after structural relaxation.

POSCAR file:
```
P2SeBr
1.0
2.850 0.000 0.000
0.000 2.850 0.000
0.000 0.000 13.627
P Se Br
2 1 1
direct
0.000 0.000 0.000
0.500 0.500 0.090
0.000 0.000 0.364
0.500 0.500 0.689
```

Calculated values
Crystal system: tetragonal
Calculated volume, Å³ per atom: 27.66
Total moment, μB/f.u.: 0.000

***

The structure with the least stability is ii.

***

i:
Density functional theory data (PBE) for P2SeBr after structural relaxation.

POSCAR file:
```
P2SeBr
1.0
3.542 0.000 0.000
0.000 3.542 0.000
0.000 0.000 7.695
P Se Br
2 1 1
direct
0.000 0.000 0.140
0.000 0.000 0.860
0.500 0.500 0.000
0.500 0.500 0.500
```

Calculated values
Crystal system: tetragonal
Calculated volume, Å³ per atom: 24.14
Total moment, μB/f.u.: 0.005

***

ii:
Density functional theory data (PBE) for P2SeBr after structural relaxation.

POSCAR file:
```
P2SeBr
1.0
3.500 0.000 0.000
0.000 3.516 0.000
0.000 0.000 7.987
P Se Br
2 1 1
direct
0.000 0.000 0.000
0.500 0.500 0.043
0.000 0.000 0.727
0.500 0.500 0.324
```

Calculated values
Crystal system: orthorhombic
Calculated volume, Å³ per atom: 24.57
Total moment, μB/f.u.: 0.000

***

iii:
Density functional theory data (PBE) for P2SeBr after structural relaxation.

POSCAR file:
```
P2SeBr
1.0
1.756 -3.672 0.000
1.756 3.672 0.000
0.000 0.000 7.589
P Se Br
2 1 1
direct
0.000 0.000 0.227
0.000 0.000 0.773
0.500 0.500 0.000
0.500 0.500 0.500
```

Calculated values
Crystal system: orthorhombic
Calculated volume, Å³ per atom: 24.46
Total moment, μB/f.u.: 0.000

***

The structure with the least stability is iii.

***

i:
Density functional theory data (PBE) for PSeBr3 after structural relaxation.

POSCAR file:
```
PSeBr3
1.0
7.066 0.000 0.000
-0.021 7.276 0.000
-1.113 -0.013 9.036
P Se Br
2 2 6
direct
0.000 0.000 0.000
0.144 0.500 0.512
0.287 0.916 0.026
0.857 0.415 0.487
0.224 0.668 0.324
0.225 0.670 0.715
0.356 0.272 0.533
0.788 0.770 0.978
0.918 0.167 0.188
0.920 0.169 0.798
```

Calculated values
Crystal system: triclinic
Calculated volume, Å³ per atom: 46.46
Total moment, μB/f.u.: 0.000

***

ii:
Density functional theory data (PBE) for PSeBr3 after structural relaxation.

POSCAR file:
```
PSeBr3
1.0
5.170 0.000 0.000
0.000 5.170 0.000
0.000 0.000 5.170
P Se Br
1 1 3
direct
0.000 0.000 0.000
0.500 0.500 0.500
0.000 0.000 0.500
0.000 0.500 0.000
0.500 0.000 0.000
```

Calculated values
Crystal system: cubic
Calculated volume, Å³ per atom: 27.63
Total moment, μB/f.u.: 2.109

***

The structure with the least stability is ii.

***

i:
Density functional theory data (PBE) for SrPSe2Br after structural relaxation.

POSCAR file:
```
SrPSe2Br
1.0
5.040 0.000 0.000
0.000 5.040 0.000
0.000 0.000 5.096
Sr P Se Br
1 1 2 1
direct
0.000 0.000 0.000
0.500 0.500 0.500
0.000 0.500 0.500
0.500 0.000 0.500
0.500 0.500 0.000
```

Calculated values
Crystal system: tetragonal
Calculated volume, Å³ per atom: 25.89
Total moment, μB/f.u.: 0.000

***

ii:
Density functional theory data (PBE) for SrPSe2Br after structural relaxation.

POSCAR file:
```
SrPSe2Br
1.0
5.887 0.000 0.000
0.000 5.887 0.000
0.000 0.000 5.593
Sr P Se Br
1 1 2 1
direct
0.000 0.000 0.000
0.500 0.500 0.500
0.000 0.500 0.000
0.500 0.000 0.000
0.000 0.000 0.500
```

Calculated values
Crystal system: tetragonal
Calculated volume, Å³ per atom: 38.77
Total moment, μB/f.u.: 0.008

***

The structure with the least stability is ii.

***

i:
Density functional theory data (PBE) for SrPSeBr2 after structural relaxation.

POSCAR file:
```
SrPSeBr2
1.0
5.152 0.000 0.000
0.000 5.152 0.000
0.000 0.000 6.473
Sr P Se Br
1 1 1 2
direct
0.000 0.000 0.000
0.500 0.500 0.000
0.000 0.000 0.500
0.000 0.500 0.500
0.500 0.000 0.500
```

Calculated values
Crystal system: tetragonal
Calculated volume, Å³ per atom: 34.36
Total moment, μB/f.u.: 1.909

***

ii:
Density functional theory data (PBE) for SrPSeBr2 after structural relaxation.

POSCAR file:
```
SrPSeBr2
1.0
5.095 0.000 0.000
0.000 5.095 0.000
0.000 0.000 5.300
Sr P Se Br
1 1 1 2
direct
0.000 0.000 0.000
0.500 0.500 0.500
0.500 0.500 0.000
0.000 0.500 0.500
0.500 0.000 0.500
```

Calculated values
Crystal system: tetragonal
Calculated volume, Å³ per atom: 27.52
Total moment, μB/f.u.: 0.000

***

iii:
Density functional theory data (PBE) for SrPSeBr2 after structural relaxation.

POSCAR file:
```
SrPSeBr2
1.0
5.849 0.000 0.000
0.000 5.849 0.000
0.000 0.000 6.408
Sr P Se Br
1 1 1 2
direct
0.000 0.000 0.000
0.500 0.500 0.500
0.000 0.000 0.500
0.000 0.500 0.000
0.500 0.000 0.000
```

Calculated values
Crystal system: tetragonal
Calculated volume, Å³ per atom: 43.85
Total moment, μB/f.u.: 1.044

***

The structure with the least stability is i.

***

i:
Density functional theory data (PBE) for TaPSe2Br after structural relaxation.

POSCAR file:
```
TaPSe2Br
1.0
4.859 0.000 0.000
0.000 4.859 0.000
0.000 0.000 4.735
Ta P Se Br
1 1 2 1
direct
0.000 0.000 0.000
0.500 0.500 0.500
0.000 0.500 0.500
0.500 0.000 0.500
0.500 0.500 0.000
```

Calculated values
Crystal system: tetragonal
Calculated volume, Å³ per atom: 22.35
Total moment, μB/f.u.: 2.164

***

ii:
Density functional theory data (PBE) for TaPSe2Br after structural relaxation.

POSCAR file:
```
TaPSe2Br
1.0
5.035 0.000 0.000
0.000 5.035 0.000
0.000 0.000 5.240
Ta P Se Br
1 1 2 1
direct
0.000 0.000 0.000
0.500 0.500 0.500
0.000 0.500 0.000
0.500 0.000 0.000
0.000 0.000 0.500
```

Calculated values
Crystal system: tetragonal
Calculated volume, Å³ per atom: 26.57
Total moment, μB/f.u.: 2.705

***

The structure with the least stability is i.

***

i:
Density functional theory data (PBE) for TiPSe2Br after structural relaxation.

POSCAR file:
```
TiPSe2Br
1.0
4.925 0.000 0.000
0.000 4.925 0.000
0.000 0.000 4.812
Ti P Se Br
1 1 2 1
direct
0.000 0.000 0.000
0.500 0.500 0.500
0.000 0.500 0.500
0.500 0.000 0.500
0.500 0.500 0.000
```

Calculated values
Crystal system: tetragonal
Calculated volume, Å³ per atom: 23.35
Total moment, μB/f.u.: 0.033

***

ii:
Density functional theory data (PBE) for TiPSe2Br after structural relaxation.

POSCAR file:
```
TiPSe2Br
1.0
4.980 0.000 0.000
0.000 4.980 0.000
0.000 0.000 5.087
Ti P Se Br
1 1 2 1
direct
0.000 0.000 0.000
0.500 0.500 0.500
0.000 0.500 0.000
0.500 0.000 0.000
0.000 0.000 0.500
```

Calculated values
Crystal system: tetragonal
Calculated volume, Å³ per atom: 25.23
Total moment, μB/f.u.: 2.162

***

The structure with the least stability is i.

***

i:
Density functional theory data (PBE) for TlPSeBr2 after structural relaxation.

POSCAR file:
```
TlPSeBr2
1.0
5.420 0.000 0.000
0.000 5.420 0.000
0.000 0.000 4.789
Tl P Se Br
1 1 1 2
direct
0.000 0.000 0.000
0.500 0.500 0.500
0.500 0.500 0.000
0.000 0.500 0.500
0.500 0.000 0.500
```

Calculated values
Crystal system: tetragonal
Calculated volume, Å³ per atom: 28.13
Total moment, μB/f.u.: 0.000

***

ii:
Density functional theory data (PBE) for TlPSeBr2 after structural relaxation.

POSCAR file:
```
TlPSeBr2
1.0
5.535 0.000 0.000
0.000 5.535 0.000
0.000 0.000 5.667
Tl P Se Br
1 1 1 2
direct
0.000 0.000 0.000
0.500 0.500 0.500
0.000 0.000 0.500
0.000 0.500 0.000
0.500 0.000 0.000
```

Calculated values
Crystal system: tetragonal
Calculated volume, Å³ per atom: 34.72
Total moment, μB/f.u.: 1.700

***

The structure with the least stability is ii.

***

i:
Density functional theory data (PBE) for PWSeBr2 after structural relaxation.

POSCAR file:
```
PWSeBr2
1.0
5.244 0.000 0.000
0.000 5.244 0.000
0.000 0.000 4.885
P W Se Br
1 1 1 2
direct
0.000 0.000 0.000
0.500 0.500 0.500
0.500 0.500 0.000
0.000 0.500 0.500
0.500 0.000 0.500
```

Calculated values
Crystal system: tetragonal
Calculated volume, Å³ per atom: 26.87
Total moment, μB/f.u.: 4.110

***

ii:
Density functional theory data (PBE) for PWSeBr2 after structural relaxation.

POSCAR file:
```
PWSeBr2
1.0
4.891 0.000 0.000
0.000 4.891 0.000
0.000 0.000 5.221
P W Se Br
1 1 1 2
direct
0.000 0.000 0.000
0.500 0.500 0.500
0.000 0.000 0.500
0.000 0.500 0.000
0.500 0.000 0.000
```

Calculated values
Crystal system: tetragonal
Calculated volume, Å³ per atom: 24.98
Total moment, μB/f.u.: 4.213

***

The structure with the least stability is ii.

***

i:
Density functional theory data (PBE) for PWSe2Br after structural relaxation.

POSCAR file:
```
PWSe2Br
1.0
4.936 0.000 0.000
0.000 4.936 0.000
0.000 0.000 4.730
P W Se Br
1 1 2 1
direct
0.000 0.000 0.000
0.500 0.500 0.500
0.000 0.500 0.000
0.500 0.000 0.000
0.000 0.000 0.500
```

Calculated values
Crystal system: tetragonal
Calculated volume, Å³ per atom: 23.05
Total moment, μB/f.u.: 3.752

***

ii:
Density functional theory data (PBE) for PWSe2Br after structural relaxation.

POSCAR file:
```
PWSe2Br
1.0
4.925 0.000 0.000
0.000 4.925 0.000
0.000 0.000 5.240
P W Se Br
1 1 2 1
direct
0.000 0.000 0.000
0.500 0.500 0.500
0.000 0.500 0.500
0.500 0.000 0.500
0.500 0.500 0.000
```

Calculated values
Crystal system: tetragonal
Calculated volume, Å³ per atom: 25.42
Total moment, μB/f.u.: 2.967

***

The structure with the least stability is i.

***

i:
Density functional theory data (PBE) for YPSeBr2 after structural relaxation.

POSCAR file:
```
YPSeBr2
1.0
5.500 0.000 0.000
0.000 5.500 0.000
0.000 0.000 5.716
Y P Se Br
1 1 1 2
direct
0.000 0.000 0.000
0.500 0.500 0.500
0.000 0.000 0.500
0.000 0.500 0.000
0.500 0.000 0.000
```

Calculated values
Crystal system: tetragonal
Calculated volume, Å³ per atom: 34.58
Total moment, μB/f.u.: 2.000

***

ii:
Density functional theory data (PBE) for YPSeBr2 after structural relaxation.

POSCAR file:
```
YPSeBr2
1.0
4.994 0.000 0.000
0.000 4.994 0.000
0.000 0.000 5.169
Y P Se Br
1 1 1 2
direct
0.000 0.000 0.000
0.500 0.500 0.500
0.500 0.500 0.000
0.000 0.500 0.500
0.500 0.000 0.500
```

Calculated values
Crystal system: tetragonal
Calculated volume, Å³ per atom: 25.78
Total moment, μB/f.u.: 0.892

***

The structure with the least stability is ii.